Here is a relaxed Pr2Ir crystal from the Open Quantum Materials Database. Energies are from PBE-GGA.

Lattice parameters (Å, degrees): 4.9799 4.9799 4.9799 60.00 60.00 60.00
Element x y z (fractional)
Pr: 0.7500 0.7500 0.7500
Pr: 0.2500 0.2500 0.2500
Ir: 0.0000 0.0000 0.0000

Results
As for the crystal system: cubic. Its space group is Fm-3m (225). As for the calculated formation energy: -0.50 eV per atom.